1 | DFT (PBE) results for crystalline Nd3SmCo at its relaxed geometry.

- crystal system = monoclinic

Lattice parameters (Å, degrees): 11.9546 8.5785 8.4484 90.00 134.74 90.00
With the nearest neighbours (Å) after each atom.
Space group C2/m (No. 12)
Inequivalent atoms, fractional coordinates:
Nd1 0.0454 0.0000 0.3374 [4 per cell]  1 Co 2.62
Nd2 0.2495 0.2956 0.7914 [8 per cell]  1 Co 2.62
Sm1 0.0449 0.5000 0.2501 [4 per cell]  1 Co 2.60
Co1 0.2490 0.5000 0.1288 [4 per cell]  1 Sm 2.60, 3 Nd 2.62

***

2 | DFT (PBE) results for crystalline Nd3SmCo at its relaxed geometry.

- crystal system = cubic

Lattice parameters (Å, degrees): 5.4556 5.4556 5.4556 90.00 90.00 90.00
With the nearest neighbours (Å) after each atom.
Space group Pm-3m (No. 221)
Inequivalent atoms, fractional coordinates:
Nd1 0.0000 0.0000 0.5000 [3 per cell]  2 Co 2.73
Sm1 0.5000 0.5000 0.5000 [1 per cell]  12 Nd 3.86
Co1 0.0000 0.0000 0.0000 [1 per cell]  6 Nd 2.73

***

Quick ranking, most stable first: 1, 2.

***

1 | DFT (PBE) results for crystalline Nd2SmCo at its relaxed geometry.

- crystal system = trigonal

Lattice parameters (Å, degrees): 3.6929 3.6929 31.5404 90.00 90.00 120.00
With the nearest neighbours (Å) after each atom.
Space group R-3m (No. 166, hexagonal axes)
Inequivalent atoms, fractional coordinates:
Nd1 0.0000 0.0000 0.1130 [6 per cell]  3 Co 2.72
Sm1 0.0000 0.0000 0.0000 [3 per cell]  2 Nd 3.56, 6 Sm 3.69
Co1 0.0000 0.0000 0.5000 [3 per cell]  6 Nd 2.72

***

2 | DFT (PBE) results for crystalline Nd2SmCo at its relaxed geometry.

- crystal system = monoclinic

Lattice parameters (Å, degrees): 3.7562 9.9282 6.3384 90.00 107.22 90.00
With the nearest neighbours (Å) after each atom.
Space group P2_1/m (No. 11)
Inequivalent atoms, fractional coordinates:
Nd1 0.1395 0.0731 0.2773 [4 per cell]  2 Co 2.83
Sm1 0.4078 0.2500 0.8166 [2 per cell]  2 Co 2.80
Co1 0.2635 0.7500 0.5272 [2 per cell]  2 Sm 2.80, 4 Nd 2.83

***

Quick ranking, most stable first: 2, 1.

***

1 | DFT (PBE) results for crystalline NdSm2Co2 at its relaxed geometry.

- crystal system = monoclinic

Lattice parameters (Å, degrees): 11.5507 3.8016 5.6704 90.00 104.78 90.00
With the nearest neighbours (Å) after each atom.
Space group C2/m (No. 12)
Inequivalent atoms, fractional coordinates:
Nd1 0.0000 0.0000 0.0000 [2 per cell]  6 Co 3.15-3.37
Sm1 0.1476 0.5000 0.5837 [4 per cell]  4 Co 2.76-3.08
Co1 0.2247 0.5000 0.1017 [4 per cell]  2 Co 2.37

***

2 | DFT (PBE) results for crystalline NdSm2Co2 at its relaxed geometry.

- crystal system = orthorhombic

Lattice parameters (Å, degrees): 4.0032 14.7721 4.1068 90.00 90.00 90.00
With the nearest neighbours (Å) after each atom.
Space group Cmmm (No. 65)
Inequivalent atoms, fractional coordinates:
Nd1 0.0000 0.0000 0.0000 [2 per cell]  2 Co 3.14
Sm1 0.0000 0.3511 0.5000 [4 per cell]  6 Co 2.90-3.02
Co1 0.0000 0.2124 0.0000 [4 per cell]  2 Co 2.29

***

Quick ranking, most stable first: 2, 1.

***

1 | DFT (PBE) results for crystalline Nd2SmCo2 at its relaxed geometry.

- crystal system = orthorhombic

Lattice parameters (Å, degrees): 4.0607 14.5038 4.1662 90.00 90.00 90.00
With the nearest neighbours (Å) after each atom.
Space group Cmmm (No. 65)
Inequivalent atoms, fractional coordinates:
Nd1 0.0000 0.1460 0.0000 [4 per cell]  6 Co 2.92-3.06
Sm1 0.0000 0.5000 0.5000 [2 per cell]  2 Co 3.08
Co1 0.0000 0.2876 0.5000 [4 per cell]  2 Co 2.30

***

2 | DFT (PBE) results for crystalline Nd2SmCo2 at its relaxed geometry.

- crystal system = monoclinic

Lattice parameters (Å, degrees): 11.0417 6.1240 7.4033 90.00 102.39 90.00
With the nearest neighbours (Å) after each atom.
Space group C2/c (No. 15)
Inequivalent atoms, fractional coordinates:
Nd1 0.1577 0.1070 0.1490 [8 per cell]  4 Co 2.79-3.10
Sm1 0.0000 0.4245 0.7500 [4 per cell]  4 Co 2.77-2.83
Co1 0.1692 0.3535 0.5184 [8 per cell]  1 Co 2.25

***

Quick ranking, most stable first: 2, 1.

***

1 | DFT (PBE) results for crystalline NdSmZnCo at its relaxed geometry.

- crystal system = cubic

Lattice parameters (Å, degrees): 7.0940 7.0940 7.0940 90.00 90.00 90.00
With the nearest neighbours (Å) after each atom.
Space group F-43m (No. 216)
Inequivalent atoms, fractional coordinates:
Nd1 0.0000 0.0000 0.0000 [4 per cell]  4 Co 3.07, 4 Zn 3.07
Sm1 0.0000 0.0000 0.5000 [4 per cell]  4 Co 3.07, 4 Zn 3.07
Zn1 0.2500 0.2500 0.2500 [4 per cell]  4 Nd 3.07, 4 Sm 3.07
Co1 0.2500 0.2500 0.7500 [4 per cell]  4 Nd 3.07, 4 Sm 3.07

***

2 | DFT (PBE) results for crystalline NdSmZnCo at its relaxed geometry.

- crystal system = orthorhombic

Lattice parameters (Å, degrees): 4.3604 3.9447 10.8709 90.00 90.00 90.00
With the nearest neighbours (Å) after each atom.
Space group Amm2 (No. 38)
Inequivalent atoms, fractional coordinates:
Nd1 0.0000 0.0000 0.0000 [2 per cell]  2 Co 2.91, 4 Zn 3.05
Sm1 0.5000 0.0000 0.2787 [2 per cell]  3 Zn 2.97-3.22, 4 Co 3.07
Zn1 0.5000 0.0000 0.5750 [2 per cell]  2 Co 2.55
Co1 0.0000 0.0000 0.6971 [2 per cell]  2 Zn 2.55

***

Quick ranking, most stable first: 2, 1.

***

1 | DFT (PBE) results for crystalline Nd2CoSn at its relaxed geometry.

- crystal system = trigonal

Lattice parameters (Å, degrees): 3.7982 3.7982 29.3139 90.00 90.00 120.00
With the nearest neighbours (Å) after each atom.
Space group R-3m (No. 166, hexagonal axes)
Inequivalent atoms, fractional coordinates:
Nd1 0.0000 0.0000 0.1118 [6 per cell]  3 Co 2.72
Co1 0.0000 0.0000 0.5000 [3 per cell]  6 Nd 2.72
Sn1 0.0000 0.0000 0.0000 [3 per cell]  2 Nd 3.28

***

2 | DFT (PBE) results for crystalline Nd2CoSn at its relaxed geometry.

- crystal system = tetragonal

Lattice parameters (Å, degrees): 3.4987 3.4987 8.1266 90.00 90.00 90.00
With the nearest neighbours (Å) after each atom.
Space group P4/mmm (No. 123)
Inequivalent atoms, fractional coordinates:
Nd1 0.0000 0.0000 0.2119 [2 per cell]  4 Co 3.01
Co1 0.5000 0.5000 0.0000 [1 per cell]  8 Nd 3.01
Sn1 0.5000 0.5000 0.5000 [1 per cell]  8 Nd 3.41, 4 Sn 3.50

***

Quick ranking, most stable first: 2, 1.